No. 1
The following is a DFT calculation (PBEsol) of an optimized crystal structure of AlCrMo2.

## Properties
DOS(E_F) = 0.80 states/eV per atom
Energy of formation from the pure elements = 47 meV per atom
Raw total energy = -150.72 eV/cell

Geometry as CIF:
```
data_AlCrMo2
_cell_length_a 6.1250
_cell_length_b 6.1250
_cell_length_c 6.1250
_cell_angle_alpha 90.00
_cell_angle_beta 90.00
_cell_angle_gamma 90.00
_symmetry_space_group_name_H-M 'F -4 3 m'
_symmetry_Int_Tables_number 216
_symmetry_space_group_name_Hall 'F -4 2 3'
loop_
_atom_site_label
_atom_site_fract_x
_atom_site_fract_y
_atom_site_fract_z
Al1 0.0000 0.0000 0.0000
Cr1 0.2500 0.2500 0.7500
Mo1 0.0000 0.0000 0.5000
Mo2 0.2500 0.2500 0.2500
```

---

No. 2
The following is a DFT calculation (PBEsol) of an optimized crystal structure of Al2CrMo.

## Properties
DOS(E_F) = 0.67 states/eV per atom
Energy of formation from the pure elements = 508 meV per atom
Raw total energy = -112.64 eV/cell
ΔE to the lowest computed polymorph = 655 meV/atom

Geometry as CIF:
```
data_Al2CrMo
_cell_length_a 6.7786
_cell_length_b 6.7786
_cell_length_c 5.2284
_cell_angle_alpha 90.00
_cell_angle_beta 90.00
_cell_angle_gamma 90.00
_symmetry_space_group_name_H-M 'I -4 2 d'
_symmetry_Int_Tables_number 122
_symmetry_space_group_name_Hall 'I -4 2bw'
loop_
_atom_site_label
_atom_site_fract_x
_atom_site_fract_y
_atom_site_fract_z
Al1 0.2351 0.7500 0.1250
Cr1 0.0000 0.0000 0.0000
Mo1 0.0000 0.0000 0.5000
```

---

No. 3
The following is a DFT calculation (PBEsol) of an optimized crystal structure of Al2CrMo.

## Properties
DOS(E_F) = 0.89 states/eV per atom
Energy of formation from the pure elements = 107 meV per atom
Raw total energy = -89.30 eV/cell
ΔE to the lowest computed polymorph = 254 meV/atom

Geometry as CIF:
```
data_Al2CrMo
_cell_length_a 2.7375
_cell_length_b 2.7375
_cell_length_c 26.2021
_cell_angle_alpha 90.00
_cell_angle_beta 90.00
_cell_angle_gamma 120.00
_symmetry_space_group_name_H-M 'R -3 m'
_symmetry_Int_Tables_number 166
_symmetry_space_group_name_Hall '-R 3 2"'
loop_
_atom_site_label
_atom_site_fract_x
_atom_site_fract_y
_atom_site_fract_z
Al1 0.0000 0.0000 0.2464
Cr1 0.0000 0.0000 0.5000
Mo1 0.0000 0.0000 0.0000
```

---

No. 4
The following is a DFT calculation (PBEsol) of an optimized crystal structure of AlCr2Mo2.

## Properties
DOS(E_F) = 1.00 states/eV per atom
Energy of formation from the pure elements = 601 meV per atom
Raw total energy = -90.21 eV/cell

Geometry as CIF:
```
data_AlCr2Mo2
_cell_length_a 4.0668
_cell_length_b 4.0668
_cell_length_c 9.3323
_cell_angle_alpha 90.00
_cell_angle_beta 90.00
_cell_angle_gamma 90.00
_symmetry_space_group_name_H-M 'I 4/m m m'
_symmetry_Int_Tables_number 139
_symmetry_space_group_name_Hall '-I 4 2'
loop_
_atom_site_label
_atom_site_fract_x
_atom_site_fract_y
_atom_site_fract_z
Al1 0.0000 0.0000 0.0000
Cr1 0.0000 0.0000 0.3860
Mo1 0.0000 0.5000 0.2500
```

---

No. 5
The following is a DFT calculation (PBEsol) of an optimized crystal structure of AlCr4Mo.

## Properties
DOS(E_F) = 0.61 states/eV per atom
Energy of formation from the pure elements = -57 meV per atom
Raw total energy = -228.68 eV/cell

Geometry as CIF:
```
data_AlCr4Mo
_cell_length_a 6.6848
_cell_length_b 6.6848
_cell_length_c 6.6848
_cell_angle_alpha 90.00
_cell_angle_beta 90.00
_cell_angle_gamma 90.00
_symmetry_space_group_name_H-M 'F -4 3 m'
_symmetry_Int_Tables_number 216
_symmetry_space_group_name_Hall 'F -4 2 3'
loop_
_atom_site_label
_atom_site_fract_x
_atom_site_fract_y
_atom_site_fract_z
Al1 0.0000 0.0000 0.0000
Cr1 0.1252 0.1252 0.3748
Mo1 0.2500 0.2500 0.7500
```

---

No. 6
The following is a DFT calculation (PBEsol) of an optimized crystal structure of AlCrMo2.

## Properties
DOS(E_F) = 0.91 states/eV per atom
Energy of formation from the pure elements = 21 meV per atom
Raw total energy = -37.79 eV/cell

Geometry as CIF:
```
data_AlCrMo2
_cell_length_a 2.6433
_cell_length_b 4.2803
_cell_length_c 5.0622
_cell_angle_alpha 90.00
_cell_angle_beta 100.64
_cell_angle_gamma 90.00
_symmetry_space_group_name_H-M 'P 1 m 1'
_symmetry_Int_Tables_number 6
_symmetry_space_group_name_Hall 'P -2y'
loop_
_atom_site_label
_atom_site_fract_x
_atom_site_fract_y
_atom_site_fract_z
Al1 0.0000 0.0000 0.0000
Cr1 0.7647 0.5000 0.2442
Mo1 0.3358 0.5000 0.7554
Mo2 0.5562 0.0000 0.4847
```

---

> Number 5 is which compound?

AlCr4Mo